The following is a PBE calculation of an optimized crystal structure of PmHf2Al, from Alexandria.

## Properties
formation enthalpy at 0 K	94	kJ/mol of formula units
raw total energy	-6.855	eV/atom
energy above the most stable polymorph in this dataset	298	meV/atom

abc: 3.1272 3.1272 33.1613
angles: 90.00 90.00 120.00
Closest atoms and distances in Å follow each position.
Space group R-3m (No. 166, hexagonal axes)
Unique sites:
Pm 0.0000 0.0000 0.0000  6 Pm 3.13, 2 Hf 3.15
Hf 0.0000 0.0000 0.0951  3 Al 2.98, 6 Hf 3.13, 1 Pm 3.15
Al 0.0000 0.0000 0.5000  6 Hf 2.98, 6 Al 3.13